(1)
Er3Al8Ag | PBE | optimized geometry

- Uncorrected energy: -4.22 eV/atom
- Magnetic moment: 0.0 μB/cell
- Calculated formation energy: -33 kJ/mol of atoms

a = 5.494 Å, b = 5.494 Å, c = 9.490 Å
α = 73.17°, β = 73.17°, γ = 60.00°
Element x y z (fractional)
Er 0.375 0.375 0.875
Er 0.995 0.995 0.014
Er 0.504 0.504 0.489
Al 0.941 0.438 0.183
Al 0.435 0.939 0.686
Al 0.438 0.438 0.183
Al 0.939 0.939 0.686
Al 0.189 0.189 0.434
Al 0.688 0.688 0.935
Al 0.438 0.941 0.183
Al 0.939 0.435 0.686
Ag 0.868 0.868 0.397

***

(2)
Zr3HSe | PBE | optimized geometry

- Uncorrected energy: -7.04 eV/atom
- Offset from the most stable computed form: 0.000 eV per atom
- Magnetic moment: 0.0 μB/cell

a = 3.415 Å, b = 5.638 Å, c = 11.022 Å
α = 118.03°, β = 90.00°, γ = 90.00°
Element x y z (fractional)
Zr 0.250 0.236 0.946
Zr 0.750 0.764 0.054
Zr 0.250 0.170 0.418
Zr 0.750 0.830 0.582
Zr 0.250 0.420 0.732
Zr 0.750 0.580 0.268
H 0.250 0.041 0.575
H 0.750 0.959 0.425
Se 0.250 0.174 0.176
Se 0.750 0.826 0.824

***

(3)
Hg2MoPt | PBE | optimized geometry

- Uncorrected energy: -3.97 eV/atom
- Offset from the most stable computed form: 0.266 eV per atom
- Magnetic moment: 0.0 μB/cell
- Calculated formation energy: 38 kJ/mol of atoms

a = 2.909 Å, b = 2.909 Å, c = 8.553 Å
α = 90.00°, β = 90.00°, γ = 89.73°
Element x y z (fractional)
Hg 0.000 0.000 0.996
Hg 0.000 0.000 0.504
Mo 0.500 0.500 0.250
Pt 0.500 0.500 0.750

***

(4)
TaTiGaMo | PBE | optimized geometry

- Uncorrected energy: -8.71 eV/atom
- Offset from the most stable computed form: 0.000 eV per atom
- Magnetic moment: 0.0 μB/cell
- Calculated formation energy: -30 kJ/mol of atoms

a = 3.295 Å, b = 3.295 Å, c = 6.032 Å
α = 90.00°, β = 90.00°, γ = 90.00°
Element x y z (fractional)
Ta 0.000 0.000 0.849
Ti 0.000 0.000 0.362
Ga 0.500 0.500 0.113
Mo 0.500 0.500 0.604

***

(5)
MgTePd2W | PBE | optimized geometry

- Uncorrected energy: -4.60 eV/atom
- ΔE_f (raw): 1.02 eV/atom
- Magnetic moment: 0.0 μB/cell

a = 4.831 Å, b = 5.241 Å, c = 4.831 Å
α = 90.00°, β = 90.00°, γ = 90.00°
Element x y z (fractional)
Mg 0.000 0.500 0.000
Te 0.500 0.500 0.500
Pd 0.000 0.000 0.500
Pd 0.500 0.000 0.000
W 0.000 0.000 0.000

***

(6)
TlCuC2O6 | PBE | optimized geometry

- Uncorrected energy: -6.47 eV/atom
- ΔE_f (raw): -1.01 eV/atom
- Magnetic moment: 0.3 μB/cell

a = 4.930 Å, b = 4.930 Å, c = 6.198 Å
α = 66.57°, β = 66.57°, γ = 60.00°
Site moments in Bohr magnetons follow the coordinates.
Element x y z (fractional)
Tl 0.000 0.000 0.000  -0.05
Cu 0.500 0.500 0.500  0.31
C 0.757 0.757 0.729  0.00
C 0.243 0.243 0.271  0.00
O 0.036 0.511 0.731  0.01
O 0.722 0.036 0.731  0.01
O 0.489 0.278 0.269  0.01
O 0.964 0.489 0.269  0.01
O 0.278 0.964 0.269  0.01
O 0.511 0.722 0.731  0.01

***

(7)
LiAs2Ru | PBE | optimized geometry

- Uncorrected energy: -5.28 eV/atom
- Magnetic moment: 0.0 μB/cell
- Calculated formation energy: -16 kJ/mol of atoms

a = 4.724 Å, b = 3.097 Å, c = 4.668 Å
α = 70.86°, β = 90.00°, γ = 90.00°
Element x y z (fractional)
As 0.000 0.820 0.986
As 0.500 0.209 0.212
Li 0.000 0.542 0.535
Ru 0.500 0.929 0.767

***

(8)
YSc3Sn | PBE | optimized geometry

- Uncorrected energy: -5.04 eV/atom
- Offset from the most stable computed form: 0.588 eV per atom
- Magnetic moment: 0.0 μB/cell
- Calculated formation energy: 83 kJ/mol of atoms

a = 5.211 Å, b = 5.211 Å, c = 5.211 Å
α = 90.00°, β = 90.00°, γ = 90.00°
Element x y z (fractional)
Y 0.000 0.000 0.000
Sc 0.000 0.500 0.000
Sc 0.000 0.000 0.500
Sc 0.500 0.000 0.000
Sn 0.500 0.500 0.500

***

(9)
Tm3Cd2Pd2 | PBE | optimized geometry

- Uncorrected energy: -4.28 eV/atom
- Magnetic moment: 0.0 μB/cell
- Calculated formation energy: -60 kJ/mol of atoms

a = 3.981 Å, b = 3.637 Å, c = 11.281 Å
α = 90.00°, β = 79.84°, γ = 90.00°
Element x y z (fractional)
Tm 0.831 0.000 0.338
Tm 0.000 0.000 0.000
Tm 0.169 0.000 0.662
Cd 0.580 0.500 0.841
Cd 0.420 0.500 0.159
Pd 0.709 0.500 0.582
Pd 0.291 0.500 0.418

***

(10)
BeTl2SiS4 | PBE | optimized geometry

- Uncorrected energy: -4.42 eV/atom
- ΔE_f (raw): -0.62 eV/atom
- Magnetic moment: 0.0 μB/cell

a = 6.720 Å, b = 6.720 Å, c = 6.289 Å
α = 122.29°, β = 122.29°, γ = 90.01°
Element x y z (fractional)
Be 0.986 0.486 0.972
Tl 0.486 0.986 0.971
Tl 0.236 0.236 0.472
Si 0.736 0.736 0.472
S 0.741 0.622 0.737
S 0.850 0.476 0.207
S 0.358 0.731 0.207
S 0.996 0.114 0.737

***

(11)
AlFeSb2 | PBE | optimized geometry

- Uncorrected energy: -4.90 eV/atom
- ΔE_f (raw): 0.21 eV/atom
- Magnetic moment: 1.4 μB/cell

a = 9.796 Å, b = 9.796 Å, c = 9.796 Å
α = 18.80°, β = 18.80°, γ = 18.80°
Site moments in Bohr magnetons follow the coordinates.
Element x y z (fractional)
Sb 0.025 0.025 0.025  -0.09
Sb 0.233 0.233 0.233  0.01
Fe 0.757 0.757 0.757  1.72
Al 0.486 0.486 0.486  -0.03

***

(12)
La2PmNdTm | PBE | optimized geometry

- Uncorrected energy: -4.74 eV/atom
- Magnetic moment: 0.0 μB/cell
- Calculated formation energy: 3 kJ/mol of atoms

a = 5.891 Å, b = 6.422 Å, c = 9.824 Å
α = 71.04°, β = 90.00°, γ = 90.00°
Element x y z (fractional)
La 0.750 0.767 0.804
La 0.250 0.233 0.196
La 0.250 0.037 0.601
La 0.750 0.963 0.399
Pm 0.750 0.570 0.194
Pm 0.250 0.430 0.806
Nd 0.750 0.365 0.602
Nd 0.250 0.635 0.398
Tm 0.250 0.838 0.000
Tm 0.750 0.162 0.000

***

(13)
Be2CrMoCl | PBE | optimized geometry

- Uncorrected energy: -4.35 eV/atom
- ΔE_f (raw): 1.60 eV/atom
- Magnetic moment: 0.2 μB/cell

a = 4.400 Å, b = 4.471 Å, c = 4.400 Å
α = 90.00°, β = 90.00°, γ = 90.00°
Site moments in Bohr magnetons follow the coordinates.
Element x y z (fractional)
Cr 0.500 0.500 0.500  0.23
Mo 0.000 0.000 0.000  -0.09
Be 0.000 0.000 0.500  0.00
Be 0.500 0.000 0.000  0.00
Cl 0.000 0.500 0.000  -0.03

***

(14)
PmPa2Ga9 | PBE | optimized geometry

- Uncorrected energy: -4.68 eV/atom
- Magnetic moment: 0.0 μB/cell
- Calculated formation energy: -41 kJ/mol of atoms

a = 4.319 Å, b = 4.319 Å, c = 12.929 Å
α = 90.00°, β = 90.00°, γ = 90.00°
Element x y z (fractional)
Pm 0.000 0.000 0.000
Pa 0.000 0.000 0.335
Pa 0.000 0.000 0.665
Ga 0.500 0.500 0.000
Ga 0.500 0.500 0.336
Ga 0.500 0.500 0.664
Ga 0.500 0.000 0.170
Ga 0.500 0.000 0.500
Ga 0.500 0.000 0.830
Ga 0.000 0.500 0.170
Ga 0.000 0.500 0.500
Ga 0.000 0.500 0.830

***

(15)
YZr2Hg | PBE | optimized geometry

- Uncorrected energy: -6.01 eV/atom
- Magnetic moment: 0.0 μB/cell
- Calculated formation energy: -4 kJ/mol of atoms

a = 10.305 Å, b = 10.305 Å, c = 10.305 Å
α = 18.93°, β = 18.93°, γ = 18.93°
Element x y z (fractional)
Hg 0.503 0.503 0.503
Y 0.753 0.753 0.753
Zr 0.995 0.995 0.995
Zr 0.249 0.249 0.249

***

(16)
LiTcO2 | PBE | optimized geometry

- Uncorrected energy: -6.97 eV/atom
- Offset from the most stable computed form: 0.000 eV per atom
- ΔE_f (raw): -1.42 eV/atom
- Magnetic moment: 0.0 μB/cell

a = 2.797 Å, b = 4.289 Å, c = 6.738 Å
α = 96.41°, β = 101.94°, γ = 90.00°
Element x y z (fractional)
Li 0.445 0.043 0.297
Li 0.585 0.563 0.574
Tc 0.205 0.090 0.816
Tc 0.825 0.516 0.055
O 0.595 0.089 0.595
O 0.435 0.517 0.276
O 0.199 0.615 0.802
O 0.832 0.991 0.069

***

(17)
Ba3TbSm3S8 | PBE | optimized geometry

- Uncorrected energy: -5.90 eV/atom
- ΔE_f (raw): -2.06 eV/atom
- Magnetic moment: 0.0 μB/cell

a = 8.247 Å, b = 8.241 Å, c = 8.696 Å
α = 118.26°, β = 90.01°, γ = 119.99°
Element x y z (fractional)
Ba 0.000 0.000 0.000
Ba 0.000 0.500 0.000
Ba 0.500 0.500 0.000
Tb 0.000 0.000 0.500
Sm 0.500 0.000 0.500
Sm 0.500 0.500 0.500
Sm 0.000 0.500 0.500
S 0.261 0.522 0.283
S 0.739 0.478 0.717
S 0.766 0.532 0.290
S 0.234 0.468 0.710
S 0.766 0.024 0.290
S 0.234 0.976 0.710
S 0.258 0.024 0.290
S 0.742 0.976 0.710

***

(18)
CaTlBiPtN | PBE | optimized geometry

- Uncorrected energy: -4.62 eV/atom
- Offset from the most stable computed form: 0.160 eV per atom
- ΔE_f (raw): -0.09 eV/atom
- Magnetic moment: 0.0 μB/cell

a = 3.716 Å, b = 3.949 Å, c = 7.866 Å
α = 90.00°, β = 90.43°, γ = 90.00°
Element x y z (fractional)
Ca 0.628 0.500 0.122
Tl 0.120 0.000 0.833
Bi 0.601 0.500 0.546
Pt 0.029 0.000 0.356
N 0.152 0.500 0.308

***

(19)
LiPrSmAl | PBE | optimized geometry

- Uncorrected energy: -3.98 eV/atom
- Magnetic moment: 0.0 μB/cell
- Calculated formation energy: -18 kJ/mol of atoms

a = 5.300 Å, b = 5.300 Å, c = 5.300 Å
α = 60.00°, β = 60.00°, γ = 60.00°
Element x y z (fractional)
Pr 0.750 0.750 0.750
Al 0.500 0.500 0.500
Sm 0.250 0.250 0.250
Li 0.000 0.000 0.000

***

(20)
TiV3Ru | PBE | optimized geometry

- Uncorrected energy: -7.96 eV/atom
- Offset from the most stable computed form: 0.000 eV per atom
- Magnetic moment: 2.8 μB/cell
- Calculated formation energy: 92 kJ/mol of atoms

a = 4.523 Å, b = 4.523 Å, c = 4.523 Å
α = 90.00°, β = 90.00°, γ = 90.00°
Site moments in Bohr magnetons follow the coordinates.
Element x y z (fractional)
Ru 0.000 0.000 0.000  -0.06
V 0.000 0.500 0.000  0.76
V 0.000 0.000 0.500  0.76
V 0.500 0.000 0.000  0.76
Ti 0.500 0.500 0.500  0.23

***

(21)
Ti3Co2Pt | PBE | optimized geometry

- Uncorrected energy: -7.87 eV/atom
- Magnetic moment: 1.4 μB/cell
- Calculated formation energy: -52 kJ/mol of atoms

a = 2.866 Å, b = 2.866 Å, c = 10.199 Å
α = 90.00°, β = 90.00°, γ = 90.00°
Site moments in Bohr magnetons follow the coordinates.
Element x y z (fractional)
Ti 0.000 0.000 0.000  -0.13
Ti 0.000 0.000 0.690  0.15
Ti 0.000 0.000 0.310  0.15
Co 0.500 0.500 0.852  0.61
Co 0.500 0.500 0.148  0.61
Pt 0.500 0.500 0.500  -0.01

***

(22)
Sm2ZnAs | PBE | optimized geometry

- Uncorrected energy: -4.59 eV/atom
- Offset from the most stable computed form: 0.000 eV per atom
- Magnetic moment: 0.0 μB/cell
- Calculated formation energy: -72 kJ/mol of atoms

a = 3.767 Å, b = 3.767 Å, c = 6.741 Å
α = 90.00°, β = 90.00°, γ = 90.00°
Element x y z (fractional)
As 0.500 0.500 0.000
Zn 0.500 0.500 0.500
Sm 0.000 0.000 0.759
Sm 0.000 0.000 0.241

***

(23)
AlTe2Cl | PBE | optimized geometry

- Uncorrected energy: -3.53 eV/atom
- Offset from the most stable computed form: 0.000 eV per atom
- ΔE_f (raw): -0.56 eV/atom
- Magnetic moment: 0.0 μB/cell

a = 4.289 Å, b = 5.321 Å, c = 6.446 Å
α = 82.91°, β = 82.96°, γ = 101.89°
Element x y z (fractional)
Te 0.035 0.000 0.929
Te 0.837 0.741 0.602
Al 0.243 0.417 0.644
Cl 0.384 0.342 0.325

***

(24)
Pu4GeS3 | PBE | optimized geometry

- Uncorrected energy: -10.67 eV/atom
- ΔE_f (raw): -1.38 eV/atom
- Magnetic moment: 42.9 μB/cell

a = 6.981 Å, b = 6.949 Å, c = 8.049 Å
α = 90.00°, β = 90.00°, γ = 109.50°
Site moments in Bohr magnetons follow the coordinates.
Element x y z (fractional)
Ge 0.750 0.000 0.873  -0.17
Ge 0.250 0.000 0.127  -0.17
S 0.750 0.000 0.375  -0.13
S 0.250 0.000 0.625  -0.13
S 0.750 0.500 0.624  -0.13
S 0.750 0.500 0.127  -0.13
S 0.250 0.500 0.376  -0.13
S 0.250 0.500 0.873  -0.13
Pu 0.005 0.252 0.620  5.26
Pu 0.499 0.260 0.871  5.16
Pu 0.505 0.252 0.380  5.26
Pu 0.999 0.260 0.129  5.16
Pu 0.001 0.740 0.871  5.16
Pu 0.495 0.748 0.620  5.26
Pu 0.501 0.740 0.129  5.16
Pu 0.995 0.748 0.380  5.26

***

(25)
NaPdI | PBE | optimized geometry

- Uncorrected energy: -3.17 eV/atom
- Offset from the most stable computed form: 0.048 eV per atom
- ΔE_f (raw): -0.48 eV/atom
- Magnetic moment: 0.0 μB/cell

a = 7.279 Å, b = 5.661 Å, c = 4.607 Å
α = 112.44°, β = 98.33°, γ = 85.73°
Element x y z (fractional)
I 0.307 0.003 0.944
I 0.896 0.472 0.590
Na 0.512 0.502 0.011
Na 0.968 0.871 0.291
Pd 0.611 0.172 0.356
Pd 0.628 0.819 0.709

***

(26)
YBAsSe2 | PBE | optimized geometry

- Uncorrected energy: -4.10 eV/atom
- Offset from the most stable computed form: 0.971 eV per atom
- ΔE_f (raw): 0.85 eV/atom
- Magnetic moment: 1.0 μB/cell

a = 5.444 Å, b = 5.444 Å, c = 5.526 Å
α = 90.00°, β = 90.00°, γ = 90.00°
Site moments in Bohr magnetons follow the coordinates.
Element x y z (fractional)
Y 0.000 0.000 0.000  0.00
As 0.000 0.000 0.500  0.33
B 0.500 0.500 0.500  0.00
Se 0.000 0.500 0.000  0.08
Se 0.500 0.000 0.000  0.08